# Li2MnVP3O12 (GGA+U, relaxed)
data_Li2MnVP3O12
_chemical_formula_sum 'Li4 Mn2 V2 P6 O24'
_cell_length_a 8.346
_cell_length_b 8.361
_cell_length_c 8.835
_cell_angle_alpha 62.23
_cell_angle_beta 63.82
_cell_angle_gamma 61.63
_space_group_name_H-M_alt 'P 1'
_space_group_IT_number 1
_space_group_name_Hall 'P 1'
loop_
_atom_site_label
_atom_site_type_symbol
_atom_site_fract_x
_atom_site_fract_y
_atom_site_fract_z
Li1 Li 0.000 0.000 0.000
Li2 Li 0.061 0.410 0.691
Li3 Li 0.465 0.654 0.691
Li4 Li 0.805 0.070 0.698
Mn1 Mn 0.077 0.688 0.782
Mn2 Mn 0.387 0.978 0.890
V1 V 0.584 0.197 0.262
V2 V 0.878 0.481 0.392
P1 P 0.193 0.084 0.586
P2 P 0.271 0.584 0.081
P3 P 0.486 0.362 0.582
P4 P 0.688 0.880 0.087
P5 P 0.766 0.799 0.576
P6 P 0.980 0.303 0.078
O1 O 0.113 0.529 0.248
O2 O 0.179 0.161 0.051
O3 O 0.191 0.113 0.751
O4 O 0.220 0.873 0.627
O5 O 0.242 0.796 0.042
O6 O 0.262 0.565 0.916
O7 O 0.279 0.489 0.620
O8 O 0.346 0.145 0.422
O9 O 0.468 0.448 0.104
O10 O 0.528 0.162 0.732
O11 O 0.554 0.323 0.404
O12 O 0.556 0.845 0.038
O13 O 0.574 0.798 0.715
O14 O 0.594 0.075 0.124
O15 O 0.619 0.454 0.566
O16 O 0.729 0.719 0.260
O17 O 0.746 0.954 0.396
O18 O 0.839 0.220 0.095
O19 O 0.869 0.594 0.550
O20 O 0.874 0.895 0.934
O21 O 0.897 0.830 0.635
O22 O 0.912 0.354 0.251
O23 O 0.956 0.494 0.915
O24 O 0.990 0.217 0.563
# Relative energy among the computed polymorphs = 0.09 eV/f.u.